(1)
Entry from the Alexandria database: MnBe2Ru after structural relaxation (PBE).

Geometry as POSCAR:
```
MnBe2Ru
1.0
2.528 -0.031 0.000
-0.878 2.370 0.000
0.000 0.000 7.297
Mn Be Ru
1 2 1
Direct
0.500 0.500 0.250
0.000 0.000 0.003
0.000 0.000 0.497
0.500 0.500 0.750
```

Properties
* formation energy: 0.081 eV per atom
* uncorrected energy: -0.2350 Ha/atom

(2)
Entry from the Alexandria database: Ho2In3SnTe6 after structural relaxation (PBE).

Geometry as POSCAR:
```
Ho2In3SnTe6
1.0
4.416 0.000 0.000
0.000 9.325 0.118
-2.208 -2.910 9.660
Ho In Sn Te
2 3 1 6
Direct
0.832 0.664 0.663
0.168 0.336 0.337
0.166 0.836 0.332
0.834 0.164 0.668
0.500 0.500 0.000
0.500 0.000 0.000
0.665 0.104 0.330
0.009 0.253 0.019
0.671 0.569 0.343
0.335 0.896 0.670
0.329 0.431 0.657
0.991 0.747 0.981
```

Properties
* uncorrected formation energy: -0.723 eV/atom
* uncorrected energy: -0.1497 Ha/atom

(3)
Entry from the Alexandria database: Ca2LaRe after structural relaxation (PBE).

Geometry as POSCAR:
```
Ca2LaRe
1.0
7.018 0.029 -0.012
6.133 3.412 -0.012
2.362 0.618 5.206
Ca La Re
2 1 1
Direct
0.249 0.249 0.251
0.064 0.064 0.936
0.426 0.426 0.574
0.761 0.761 0.739
```

Properties
* formation energy: 0.454 eV per atom
* energy above the most stable polymorph in this dataset: 48 meV/atom
* uncorrected energy: -0.1797 Ha/atom

(4)
Entry from the Alexandria database: Nd3Ga after structural relaxation (PBE).

Geometry as POSCAR:
```
Nd3Ga
1.0
-0.869 -3.751 -0.214
4.541 -0.895 -2.741
1.028 1.371 6.533
Ga Nd
1 3
Direct
0.000 0.921 0.000
0.500 0.418 0.000
0.291 0.705 0.582
0.709 0.123 0.418
```

Properties
* formation energy: -0.254 eV per atom
* energy above the most stable polymorph in this dataset: 1 meV/atom
* uncorrected energy: -0.1685 Ha/atom

(5)
Entry from the Alexandria database: Fe3MoSe after structural relaxation (PBE).

Geometry as POSCAR:
```
Fe3MoSe
1.0
4.295 0.000 0.000
0.000 4.295 0.000
0.000 0.000 4.295
Fe Se Mo
3 1 1
Direct
0.000 0.000 0.500
0.000 0.500 0.000
0.500 0.000 0.000
0.000 0.000 0.000
0.500 0.500 0.500
```

Properties
* energy above the most stable polymorph in this dataset: 0 meV/atom
* uncorrected formation energy: 1.051 eV/atom
* uncorrected energy: -0.2532 Ha/atom

(6)
Entry from the Alexandria database: BaTlRe3 after structural relaxation (PBE).

Geometry as POSCAR:
```
BaTlRe3
1.0
-0.370 5.049 0.872
-3.067 -0.919 4.017
4.105 -0.231 3.080
Re Tl Ba
3 1 1
Direct
0.000 0.000 0.500
0.500 0.000 0.000
0.000 0.500 0.000
0.000 0.000 0.000
0.500 0.500 0.500
```

Properties
* formation energy: 2.716 eV per atom
* energy above the most stable polymorph in this dataset: 0 meV/atom
* uncorrected energy: -0.2062 Ha/atom

(7)
Entry from the Alexandria database: SrCdNiHg2 after structural relaxation (PBE).

Geometry as POSCAR:
```
SrCdNiHg2
1.0
-2.033 -4.668 -0.010
2.865 -1.239 -4.023
3.628 -1.586 3.073
Hg Cd Ni Sr
2 1 1 1
Direct
0.500 0.000 0.000
0.000 0.500 0.000
0.000 0.000 0.500
0.000 0.000 0.000
0.500 0.500 0.500
```

Properties
* formation energy: -0.190 eV per atom
* uncorrected energy: -0.0730 Ha/atom

(8)
Entry from the Alexandria database: YZn2Hg after structural relaxation (PBE).

Geometry as POSCAR:
```
YZn2Hg
1.0
4.204 0.925 -0.538
-0.991 4.189 -0.538
0.417 0.664 4.428
Y Zn Hg
1 2 1
Direct
0.000 0.500 0.500
0.500 0.500 0.000
0.000 0.000 0.000
0.500 0.000 0.500
```

Properties
* formation energy: -0.253 eV per atom
* uncorrected energy: -0.0949 Ha/atom